1.
Density functional theory data (GGA-PBE) for crystalline SiTe2Rh at its relaxed geometry. Values from VASP.

Geometry as Quantum ESPRESSO input:
```
&SYSTEM
  ibrav = 0, nat = 4, ntyp = 3
/
ATOMIC_SPECIES
Si 28.09 Si.upf
Te 127.60 Te.upf
Rh 102.91 Rh.upf
CELL_PARAMETERS angstrom
1.8944 1.0937 8.7382
-1.8944 1.0937 8.7382
0.0000 -2.1875 8.7382
ATOMIC_POSITIONS angstrom
Si 0.0000 0.0000 0.0000
Te 0.0000 0.0000 2.8820
Te 0.0000 0.0000 23.3327
Rh 0.0000 0.0000 13.1073
```

Computed properties:
M_tot = 0.0 μB/f.u.
Uncorrected formation energy = 0.2372 eV per atom
DOS at the Fermi energy = 2.26 states/eV per cell

---

2.
Density functional theory data (GGA-PBE) for crystalline YMgOs2 at its relaxed geometry. Values from VASP.

Geometry as Quantum ESPRESSO input:
```
&SYSTEM
  ibrav = 0, nat = 4, ntyp = 3
/
ATOMIC_SPECIES
Y 88.91 Y.upf
Mg 24.30 Mg.upf
Os 190.23 Os.upf
CELL_PARAMETERS angstrom
2.9488 0.0000 0.0000
0.0000 2.9488 0.0000
0.0000 0.0000 8.6439
ATOMIC_POSITIONS angstrom
Y 0.0000 0.0000 0.0000
Mg 1.4744 1.4744 2.8700
Os 0.0000 0.0000 4.8451
Os 1.4744 1.4744 6.4268
```

Computed properties:
ΔE_f = 0.093 eV/atom
M_tot = 0.0 μB/f.u.
DOS at the Fermi energy = 3.09 states/eV per cell

---

3.
Density functional theory data (GGA-PBE) for crystalline NaCrCd2S at its relaxed geometry. Values from VASP.

Geometry as Quantum ESPRESSO input:
```
&SYSTEM
  ibrav = 0, nat = 5, ntyp = 4
/
ATOMIC_SPECIES
Na 22.99 Na.upf
Cr 52.00 Cr.upf
Cd 112.41 Cd.upf
S 32.06 S.upf
CELL_PARAMETERS angstrom
5.3406 0.0000 0.0000
0.0000 5.3406 0.0000
0.0000 0.0000 4.8547
ATOMIC_POSITIONS angstrom
Na 0.0000 0.0000 0.0000
Cr 2.6703 2.6703 2.4273
Cd 0.0000 2.6703 0.0000
Cd 2.6703 0.0000 0.0000
S 0.0000 0.0000 2.4273
```

Computed properties:
M_tot = 4.8 μB/f.u.
Uncorrected formation energy = 0.7263 eV per atom
DOS at the Fermi energy = 3.10 states/eV per cell

---

4.
Density functional theory data (GGA-PBE) for crystalline Ag2SbAu at its relaxed geometry. Values from VASP.

Geometry as Quantum ESPRESSO input:
```
&SYSTEM
  ibrav = 0, nat = 8, ntyp = 3
/
ATOMIC_SPECIES
Ag 107.87 Ag.upf
Sb 121.76 Sb.upf
Au 196.97 Au.upf
CELL_PARAMETERS angstrom
-3.9277 3.9277 2.8290
3.9277 -3.9277 2.8290
3.9277 3.9277 -2.8290
ATOMIC_POSITIONS angstrom
Ag 5.8916 1.9138 -0.7072
Ag 1.9138 1.9639 0.7072
Ag -1.9639 2.0139 2.1217
Ag 2.0139 1.9639 3.5362
Sb 3.9277 0.0000 1.4145
Sb 0.0000 0.0000 2.8290
Au 0.0000 0.0000 0.0000
Au 0.0000 3.9277 1.4145
```

Computed properties:
M_tot = 0.0 μB/f.u.
Uncorrected formation energy = 0.1580 eV per atom
DOS at the Fermi energy = 2.23 states/eV per cell

---

5.
Density functional theory data (GGA-PBE) for crystalline MgGaPO2 at its relaxed geometry. Values from VASP.

Geometry as Quantum ESPRESSO input:
```
&SYSTEM
  ibrav = 0, nat = 5, ntyp = 4
/
ATOMIC_SPECIES
Mg 24.30 Mg.upf
Ga 69.72 Ga.upf
P 30.97 P.upf
O 16.00 O.upf
CELL_PARAMETERS angstrom
3.7806 0.0000 0.0000
0.0000 3.7806 0.0000
0.0000 0.0000 5.2860
ATOMIC_POSITIONS angstrom
Mg 0.0000 0.0000 0.0000
Ga 1.8903 1.8903 2.6430
P 1.8903 1.8903 0.0000
O 0.0000 1.8903 2.6430
O 1.8903 0.0000 2.6430
```

Computed properties:
M_tot = 1.3 μB/f.u.
Uncorrected formation energy = -0.4974 eV per atom
ΔE to the lowest computed polymorph = 0 meV/atom
DOS at the Fermi energy = 4.79 states/eV per cell

---

6.
Density functional theory data (GGA-PBE) for crystalline Rb2NaTa at its relaxed geometry. Values from VASP.

Geometry as Quantum ESPRESSO input:
```
&SYSTEM
  ibrav = 0, nat = 8, ntyp = 3
/
ATOMIC_SPECIES
Rb 85.47 Rb.upf
Na 22.99 Na.upf
Ta 180.95 Ta.upf
CELL_PARAMETERS angstrom
-5.1108 5.1108 3.6392
5.1108 -5.1108 3.6392
5.1108 5.1108 -3.6392
ATOMIC_POSITIONS angstrom
Rb 7.6662 2.5405 -0.9098
Rb 2.5405 2.5554 0.9098
Rb -2.5554 2.5703 2.7294
Rb 2.5703 2.5554 4.5489
Na 5.1108 0.0000 1.8196
Na 0.0000 0.0000 3.6392
Ta 0.0000 0.0000 0.0000
Ta 0.0000 5.1108 1.8196
```

Computed properties:
ΔE_f = 1.540 eV/atom
M_tot = 4.6 μB/f.u.
ΔE to the lowest computed polymorph = 87 meV/atom
DOS at the Fermi energy = 12.40 states/eV per cell